1.
{"formula": "Pa6MnSe5", "functional": "PBE", "state": "relaxed", "e_form_raw_ev_per_atom": -1.01, "total_energy_ev_per_cell": -95.719, "magmom_total_mub_per_fu": 0.0, "dos_ef_per_ev_cell": 20.3, "cell": [[6.9092, 0.2236, 1.0796], [1.7529, 5.9420, 3.4684], [0.1423, 0.0976, 7.0279]], "species": ["Pa", "Pa", "Pa", "Pa", "Pa", "Pa", "Se", "Se", "Se", "Se", "Se", "Mn"], "frac_coords": [[0.2480, 0.2289, 0.0000], [0.7725, 0.3788, 0.6964], [0.2275, 0.9248, 0.6964], [0.7725, 0.0752, 0.3036], [0.7520, 0.7711, 0.0000], [0.2275, 0.6212, 0.3036], [0.5000, 0.5000, 0.0000], [0.0000, 0.6638, 0.6724], [0.5000, 0.1816, 0.6368], [0.0000, 0.3362, 0.3276], [0.5000, 0.8184, 0.3632], [0.0000, 0.0000, 0.0000]]}

2.
{"formula": "Pa2MnTeSe4", "functional": "PBE", "state": "relaxed", "e_form_raw_ev_per_atom": -1.00, "total_energy_ev_per_cell": -53.258, "magmom_total_mub_per_fu": 6.3, "dos_ef_per_ev_cell": 7.2, "cell": [[3.9336, 0.0000, 0.0000], [1.9668, 6.2136, 0.3448], [1.9668, 1.6582, 8.6015]], "species": ["Se", "Se", "Se", "Se", "Mn", "Pa", "Pa", "Te"], "frac_coords": [[0.8305, 0.0531, 0.2859], [0.6192, 0.6954, 0.0663], [0.3808, 0.3046, 0.9337], [0.1695, 0.9469, 0.7141], [0.0000, 0.0000, 0.0000], [0.8223, 0.6075, 0.7480], [0.1777, 0.3925, 0.2520], [0.5000, 0.5000, 0.5000]]}

3.
{"formula": "ThPaMn2Se8", "functional": "PBE", "state": "relaxed", "e_form_raw_ev_per_atom": -0.84, "total_energy_ev_per_cell": -73.241, "magmom_total_mub_per_fu": 7.1, "dos_ef_per_ev_cell": 7.1, "cell": [[6.8224, 0.0000, 0.0000], [0.0000, 6.8224, 0.0000], [-3.4112, -3.4112, 6.6271]], "species": ["Se", "Se", "Se", "Se", "Se", "Se", "Se", "Se", "Mn", "Mn", "Pa", "Th"], "frac_coords": [[0.6063, 0.6673, 0.6688], [0.7605, 0.8477, 0.1578], [0.3973, 0.3102, 0.1578], [0.9985, 0.3937, 0.3312], [0.1523, 0.6027, 0.8422], [0.6898, 0.2395, 0.8422], [0.3327, 0.9376, 0.3312], [0.0624, 0.0015, 0.6688], [0.2500, 0.7500, 0.5000], [0.5000, 0.5000, 0.0000], [0.0000, 0.0000, 0.0000], [0.7500, 0.2500, 0.5000]]}

4.
{"formula": "PaTiMnSe6", "functional": "PBE", "state": "relaxed", "e_form_raw_ev_per_atom": -0.85, "total_energy_ev_per_cell": -55.079, "magmom_total_mub_per_fu": 4.0, "dos_ef_per_ev_cell": 4.6, "cell": [[-5.4895, 2.0332, 2.1530], [1.7238, -1.6858, 5.9871], [1.3322, 5.9216, -2.1952]], "species": ["Se", "Se", "Se", "Se", "Se", "Se", "Pa", "Ti", "Mn"], "frac_coords": [[0.7321, 0.9863, 0.3199], [0.2679, 0.6801, 0.0137], [0.2679, 0.3337, 0.3199], [0.7321, 0.3337, 0.0137], [0.2679, 0.9863, 0.6663], [0.7321, 0.6801, 0.6663], [0.0000, 0.3333, 0.6667], [0.5000, 0.6667, 0.3333], [0.5000, 0.0000, 0.0000]]}